Record 1
A plane-wave DFT calculation with PBE was carried out for an optimized crystal structure of MnAg2AuBr6.

Crystal system = triclinic
Theoretical density = 5423 kg/m³
Space-group type = P1 (1)

Unit cell a=7.098 b=7.091 c=7.825 alpha=62.93 beta=62.90 gamma=59.94
Last column: magnetic moment on the atom in μB.
Fractional coordinates of all 10 atoms:
Au1 0.741 0.742 0.775  -0.06
Br1 0.561 0.229 0.237  -0.01
Ag1 0.000 0.000 0.001  -0.03
Br2 0.973 0.561 0.236  -0.01
Br3 0.400 0.710 0.767  -0.03
Ag2 0.594 0.594 0.218  -0.01
Br4 0.230 0.972 0.237  -0.01
Mn1 0.330 0.330 0.010  3.94
Br5 0.709 0.124 0.767  -0.03
Br6 0.123 0.400 0.767  -0.03



Record 2
A plane-wave DFT calculation with PBE was carried out for an optimized crystal structure of Dy2Tm3Al4.

Crystal system = orthorhombic
Theoretical density = 6922 kg/m³
Space-group type = Cmce (64)

Unit cell a=6.158 b=7.563 c=10.159 alpha=90.00 beta=107.64 gamma=90.00
Fractional coordinates of all 18 atoms:
Tm1 0.998 0.250 0.497
Al1 0.651 0.511 0.303
Al2 0.349 0.489 0.697
Dy1 0.411 0.104 0.821
Tm2 0.002 0.750 0.503
Al3 0.849 0.011 0.697
Al4 0.663 0.750 0.827
Tm3 0.000 0.000 0.000
Tm4 0.498 0.250 0.497
Al5 0.837 0.250 0.173
Al6 0.337 0.250 0.173
Al7 0.151 0.989 0.303
Dy2 0.089 0.604 0.179
Tm5 0.500 0.500 0.000
Dy3 0.589 0.896 0.179
Al8 0.163 0.750 0.827
Dy4 0.911 0.396 0.821
Tm6 0.502 0.750 0.503



Record 3
A plane-wave DFT calculation with PBE was carried out for an optimized crystal structure of Nb4GaSn2.

Crystal system = triclinic
Theoretical density = 7969 kg/m³
Space-group type = P-1 (2)

Unit cell a=6.805 b=8.512 c=8.532 alpha=140.77 beta=98.22 gamma=98.21
Fractional coordinates of all 14 atoms:
Nb1 0.347 0.612 0.256
Nb2 0.980 0.739 0.241
Nb3 0.903 0.138 0.244
Nb4 0.482 0.741 0.742
Sn1 0.625 0.375 0.750
Ga1 0.074 0.614 0.459
Sn2 0.625 0.375 0.250
Nb5 0.904 0.656 0.761
Nb6 0.346 0.094 0.738
Ga2 0.177 0.137 0.041
Sn3 0.125 0.375 0.750
Nb7 0.269 0.010 0.259
Sn4 0.625 0.875 0.250
Nb8 0.769 0.010 0.758



Record 4
A plane-wave DFT calculation with PBE was carried out for an optimized crystal structure of TbEr7Tm12.

Energy above the most stable polymorph in this dataset = 0.0 kJ per mole of atoms
Crystal system = trigonal
Theoretical density = 9056 kg/m³
Space-group type = R-3 (148)

Unit cell a=8.544 b=8.544 c=8.544 alpha=95.16 beta=95.16 gamma=95.16
Fractional coordinates of all 20 atoms:
Er1 0.981 0.917 0.648
Er2 0.019 0.083 0.352
Tm1 0.584 0.521 0.852
Er3 0.500 0.500 0.500
Tm2 0.479 0.148 0.416
Tm3 0.812 0.251 0.685
Tm4 0.315 0.188 0.749
Tm5 0.852 0.584 0.521
Tm6 0.749 0.315 0.188
Tm7 0.521 0.852 0.584
Er4 0.352 0.019 0.083
Tm8 0.251 0.685 0.812
Er5 0.083 0.352 0.019
Tm9 0.416 0.479 0.148
Tm10 0.188 0.749 0.315
Er6 0.917 0.648 0.981
Er7 0.648 0.981 0.917
Tm11 0.685 0.812 0.251
Tb1 0.000 0.000 0.000
Tm12 0.148 0.416 0.479



Sequential total DFT energy (no corrections) output: -3.186, -4.383, -7.253, -4.193 eV per atom